First-principles (GGA-PBE) data for a geometry-optimized KRb2NaI6 structure, as listed in Alexandria via LeMat-Bulk.

Lattice parameters (Å, degrees): 9.018 9.018 9.018 60.00 60.00 90.00
Last column: magnetic moment on the atom in μB.
Fractional positions:
Na: 0.500 0.500 0.000  0.00
I: 0.260 0.740 0.000  0.21
I: 0.260 0.260 0.479  0.21
I: 0.260 0.260 0.000  0.21
I: 0.740 0.740 0.000  0.21
I: 0.740 0.260 0.000  0.21
I: 0.740 0.740 0.521  0.21
K: 0.000 0.000 0.000  0.00
Rb: 0.250 0.750 0.500  0.00
Rb: 0.750 0.250 0.500  0.00

- formation energy from raw total energies (eV/atom) = -0.897
- electronic total energy (eV/atom) = -2.262